# 1
A plane-wave DFT calculation with GGA-PBE was carried out for an optimized crystal structure of LiTe2Pt.

Calculated values
formation energy (no corrections): -30 kJ per mole of atoms
space-group type: Imm2 (44)

Cell: 6.4376 6.4376 6.4376 Å, 145.92 143.21 51.01°
With the nearest neighbours (Å) after each atom.
Element x y z (fractional)
1 Te 0.7731 0.2731 0.5000  4 Pt 2.96
2 Te 0.0140 0.0140 0.0000  2 Pt 2.74, 4 Li 2.78
3 Pt 0.1850 0.6850 0.5000  2 Li 2.73, 6 Te 2.74-2.96
4 Li 0.5279 0.5279 0.0000  2 Pt 2.73, 4 Te 2.78

=====

# 2
A plane-wave DFT calculation with GGA-PBE was carried out for an optimized crystal structure of TmBiH6Ir2.

Calculated values
space-group type: Cmcm (63)
calculated total energy: -4.81 eV per atom

Cell: 7.5541 7.5541 4.4722 Å, 89.98 89.98 114.79°
With the nearest neighbours (Å) after each atom.
Element x y z (fractional)
1 H 0.8706 0.8705 0.9999  2 Ir 1.76
2 H 0.5832 0.9435 0.4819  1 Ir 1.63, 1 H 1.80
3 H 0.8705 0.8706 0.4999  2 Ir 1.76
4 H 0.9435 0.5832 0.9819  1 Ir 1.63, 1 H 1.80
5 H 0.0565 0.4168 0.0181  1 Ir 1.63, 1 H 1.80
6 H 0.4174 0.0573 0.9826  1 Ir 1.63, 1 H 1.80
7 H 0.5826 0.9427 0.0174  1 Ir 1.63, 1 H 1.80
8 H 0.1294 0.1295 0.0001  2 Ir 1.76
9 H 0.0573 0.4174 0.4826  1 Ir 1.63, 1 H 1.80
10 H 0.4168 0.0565 0.5181  1 Ir 1.63, 1 H 1.80
11 H 0.9427 0.5826 0.5174  1 Ir 1.63, 1 H 1.80
12 H 0.1295 0.1294 0.5001  2 Ir 1.76
13 Ir 0.3193 0.1573 0.7501  4 H 1.63-1.76
14 Ir 0.8427 0.6807 0.7499  4 H 1.63-1.76
15 Ir 0.1573 0.3193 0.2501  4 H 1.63-1.76
16 Ir 0.6807 0.8427 0.2499  4 H 1.63-1.76
17 Bi 0.5939 0.4061 0.2500  4 H 2.68-2.69
18 Bi 0.4061 0.5939 0.7500  4 H 2.68-2.69
19 Tm 0.8680 0.1320 0.7500  8 H 2.28-2.35
20 Tm 0.1320 0.8680 0.2500  8 H 2.28-2.35

=====

# 3
A plane-wave DFT calculation with GGA-PBE was carried out for an optimized crystal structure of KAl.

Calculated values
energy above the most stable polymorph in this dataset: 87 meV/atom
energy of formation from the pure elements: 0.204 eV per atom
space-group type: Pmmn (59)

Cell: 4.5069 6.6968 16.4982 Å, 90.00 90.00 90.00°
With the nearest neighbours (Å) after each atom.
Element x y z (fractional)
1 K 0.5000 0.5000 0.0000  4 Al 3.59-3.66
2 K 0.5000 0.7678 0.2843  4 Al 3.50-3.89
3 K 0.0000 0.2322 0.2157  4 Al 3.50-3.89
4 K 0.0000 0.5000 0.5000  4 Al 3.59-3.66
5 K 0.5000 0.7678 0.7157  4 Al 3.50-3.89
6 K 0.0000 0.2322 0.7843  4 Al 3.50-3.89
7 Al 0.0000 0.0057 0.5849  3 Al 2.65-2.80
8 Al 0.0000 0.0057 0.4151  3 Al 2.65-2.80
9 Al 0.5000 0.9943 0.0849  3 Al 2.65-2.80
10 Al 0.5000 0.9943 0.9151  3 Al 2.65-2.80
11 Al 0.0000 0.9992 0.0000  4 Al 2.65
12 Al 0.5000 0.0008 0.5000  4 Al 2.65

=====

# 4
A plane-wave DFT calculation with GGA-PBE was carried out for an optimized crystal structure of RbCdH.

Calculated values
energy above the most stable polymorph in this dataset: 0 meV/atom
space-group type: C2/m (12)

Cell: 3.9672 3.9672 11.6494 Å, 80.48 80.48 88.82°
With the nearest neighbours (Å) after each atom.
Element x y z (fractional)
1 H 0.3536 0.3536 0.2827  1 Cd 1.91
2 H 0.6464 0.6464 0.7173  1 Cd 1.91
3 Cd 0.2729 0.2729 0.4516  1 H 1.91
4 Cd 0.7271 0.7271 0.5484  1 H 1.91
5 Rb 0.1173 0.1173 0.7784  4 H 2.86-2.92
6 Rb 0.8827 0.8827 0.2216  4 H 2.86-2.92